Entry 1:
The following is a DFT calculation (PBE) of crystalline LiHoErGe at its relaxed geometry.

The energy relative to the elements comes out at -398 meV per atom. The value obtained for the density of states at the Fermi level is 0.640 states/eV/atom. The raw total energy comes out at -4.316 eV/atom. Its volume is 21.795 Å³ per atom.

The space group is F-43m (No. 216) and the conventional cell measures 7.039, 7.039 and 7.039 Å, with angles of 90.00, 90.00 and 90.00 degrees. Symmetry generates all atoms from Li at (0.000, 0.000, 0.000), Ho at (0.250, 0.250, 0.250), Er at (0.250, 0.250, 0.750) and Ge at (0.000, 0.000, 0.500).

***

Entry 2:
The following is a DFT calculation (PBE) of crystalline HoErNiGe at its relaxed geometry.

The energy relative to the elements comes out at -557 meV per atom. The value obtained for the density of states at the Fermi level is 0.286 states/eV/atom. The raw total energy comes out at -5.442 eV/atom. Its volume is 20.662 Å³ per atom.

The space group is F-43m (No. 216) and the conventional cell measures 6.915, 6.915 and 6.915 Å, with angles of 90.00, 90.00 and 90.00 degrees. Symmetry generates all atoms from Ho at (0.000, 0.000, 0.000), Er at (0.000, 0.000, 0.500), Ni at (0.250, 0.250, 0.750) and Ge at (0.250, 0.250, 0.250).

***

Entry 3:
The following is a DFT calculation (PBE) of crystalline HoErGePt at its relaxed geometry.

The energy relative to the elements comes out at -1089 meV per atom. The value obtained for the density of states at the Fermi level is 0.359 states/eV/atom. The raw total energy comes out at -6.039 eV/atom. Its volume is 22.314 Å³ per atom.

The space group is Amm2 (No. 38) and the conventional cell measures 4.257, 3.887 and 10.788 Å, with angles of 90.00, 90.00 and 90.00 degrees. Symmetry generates all atoms from Ho at (0.000, 0.000, 0.000), Er at (0.500, 0.000, 0.280), Ge at (0.000, 0.000, 0.722) and Pt at (0.500, 0.000, 0.555).